[1]
Below is a relaxed structure of ScAlPb3, with properties calculated at the PBE level.

Unit cell a=5.391 b=5.391 c=5.391 alpha=90.00 beta=90.00 gamma=90.00
Element x y z (fractional)
1 Pb 0.000 0.500 0.000
2 Pb 0.000 0.000 0.500
3 Pb 0.500 0.000 0.000
4 Sc 0.500 0.500 0.500
5 Al 0.000 0.000 0.000

Values from the calculation:
For the mass density, the calculation gives 7.35 Mg/m³. The calculation puts the total magnetization at 0.000 μB/f.u. For the density of states at the Fermi level, the calculation gives 5.06 states/eV/f.u. The symmetry is Pm-3m, No. 221. The calculation puts the calculated formation energy at 474 meV/atom.

***

[2]
Below is a relaxed structure of Sc6AlPb, with properties calculated at the PBE level.

Unit cell a=4.492 b=4.492 c=8.979 alpha=90.00 beta=90.00 gamma=90.00
Each line ends with the local moment (μB).
Element x y z (fractional)
1 Sc 0.500 0.500 0.000  0.41
2 Sc 0.500 0.500 0.500  0.32
3 Sc 0.500 0.000 0.260  0.35
4 Sc 0.500 0.000 0.740  0.35
5 Sc 0.000 0.500 0.260  0.35
6 Sc 0.000 0.500 0.740  0.35
7 Al 0.000 0.000 0.500  -0.02
8 Pb 0.000 0.000 0.000  -0.03

Values from the calculation:
For the mass density, the calculation gives 4.62 Mg/m³. The calculation puts the total magnetization at 3.089 μB/f.u. For the density of states at the Fermi level, the calculation gives 10.04 states/eV/f.u. The symmetry is P4/mmm, No. 123. The calculation puts the calculated formation energy at -263 meV/atom.

***

[3]
Below is a relaxed structure of ScAlPb4, with properties calculated at the PBE level.

Unit cell a=6.363 b=6.363 c=6.363 alpha=60.00 beta=60.00 gamma=60.00
Element x y z (fractional)
1 Sc 0.750 0.750 0.750
2 Al 0.000 0.000 0.000
3 Pb 0.874 0.375 0.375
4 Pb 0.375 0.375 0.874
5 Pb 0.375 0.874 0.375
6 Pb 0.375 0.375 0.375

Values from the calculation:
For the mass density, the calculation gives 8.21 Mg/m³. The calculation puts the total magnetization at 0.003 μB/f.u. For the density of states at the Fermi level, the calculation gives 6.22 states/eV/f.u. The symmetry is F-43m, No. 216. The calculation puts the calculated formation energy at 334 meV/atom.

***

[4]
Below is a relaxed structure of Sc2AlPb, with properties calculated at the PBE level.

Unit cell a=4.985 b=4.985 c=5.984 alpha=79.16 beta=79.16 gamma=39.83
Element x y z (fractional)
1 Pb 0.250 0.250 0.250
2 Sc 0.006 0.006 0.978
3 Sc 0.494 0.494 0.522
4 Al 0.750 0.750 0.750

Values from the calculation:
For the mass density, the calculation gives 5.76 Mg/m³. The calculation puts the total magnetization at 0.000 μB/f.u. For the density of states at the Fermi level, the calculation gives 2.41 states/eV/f.u. The symmetry is C2/m, No. 12. The calculation puts the calculated formation energy at -252 meV/atom.